(a)
## PrMoIr (PBE)

Data for crystalline PrMoIr at its relaxed geometry.

```
PrMoIr
1.0
0.000 3.297 3.297
3.297 0.000 3.297
3.297 3.297 0.000
Ir Mo Pr
1 1 1
Direct
0.250 0.250 0.250
0.750 0.750 0.750
0.000 0.000 0.000
```

Calculated values
Density, Mg/m³: 9.9



(b)
## PrMoIr (PBE)

Data for crystalline PrMoIr at its relaxed geometry.

```
PrMoIr
1.0
-0.503 0.435 4.590
-3.736 -1.770 2.102
0.424 -3.716 2.742
Mo Pr Ir
1 1 1
Direct
0.750 0.750 0.750
0.250 0.250 0.250
0.000 0.000 0.000
```

Calculated values
Density, Mg/m³: 10.1



Most favorable first, least favorable last: (b), (a)



(a)
## MoIr2Pt (PBE)

Data for crystalline MoIr2Pt at its relaxed geometry.

```
MoIr2Pt
1.0
0.000 3.135 3.135
3.135 0.000 3.135
3.135 3.135 0.000
Pt Mo Ir
1 1 2
Direct
0.750 0.750 0.750
0.500 0.500 0.500
0.250 0.250 0.250
0.000 0.000 0.000
```

Calculated values
Density, Mg/m³: 18.2



(b)
## MoIr2Pt (PBE)

Data for crystalline MoIr2Pt at its relaxed geometry.

```
MoIr2Pt
1.0
-0.931 3.446 -2.662
-1.763 2.922 4.399
5.339 0.239 -1.558
Ir Mo Pt
4 2 2
Direct
0.250 0.837 0.172
0.750 0.172 0.837
0.250 0.329 0.169
0.750 0.169 0.329
0.250 0.331 0.668
0.750 0.668 0.331
0.750 0.662 0.832
0.250 0.832 0.662
```

Calculated values
Density, Mg/m³: 18.8



Most favorable first, least favorable last: (b), (a)



(a)
## RbMoIr (PBE)

Data for crystalline RbMoIr at its relaxed geometry.

```
RbMoIr
1.0
2.479 -0.047 4.085
0.463 4.008 2.560
-2.273 0.441 4.180
Ir Rb Mo
1 1 1
Direct
0.250 0.250 0.250
0.000 0.000 0.000
0.750 0.750 0.750
```

Calculated values
Density, Mg/m³: 8.0



(b)
## RbMoIr (PBE)

Data for crystalline RbMoIr at its relaxed geometry.

```
RbMoIr
1.0
1.322 -4.267 -0.680
-2.563 -2.795 -2.456
1.376 -1.313 -4.098
Mo Ir Rb
1 1 1
Direct
0.000 0.000 0.000
0.250 0.250 0.250
0.750 0.750 0.750
```

Calculated values
Density, Mg/m³: 9.5



Most favorable first, least favorable last: (b), (a)



(a)
## TcMoIr2 (PBE)

Data for crystalline TcMoIr2 at its relaxed geometry.

```
TcMoIr2
1.0
1.092 -3.453 -2.507
-3.144 -2.366 -1.980
-0.491 0.211 -4.372
Tc Mo Ir
1 1 2
Direct
0.000 0.000 0.000
0.750 0.750 0.750
0.250 0.250 0.250
0.500 0.500 0.500
```

Calculated values
Density, Mg/m³: 15.9



(b)
## TcMoIr2 (PBE)

Data for crystalline TcMoIr2 at its relaxed geometry.

```
TcMoIr2
1.0
-0.930 2.526 0.585
-3.613 -1.755 1.837
2.249 -0.161 4.271
Ir Tc Mo
2 1 1
Direct
0.500 0.000 0.826
0.500 0.500 0.167
0.000 0.500 0.670
0.000 0.000 0.336
```

Calculated values
Density, Mg/m³: 16.3



Most favorable first, least favorable last: (b), (a)



(a)
## IrN (PBE)

Data for crystalline IrN at its relaxed geometry.

```
IrN
1.0
-3.424 3.764 2.164
-2.347 -2.060 -0.130
1.524 -2.122 6.102
Ir N
4 4
Direct
0.000 0.500 0.500
0.250 0.000 0.803
0.500 0.500 0.500
0.750 0.000 0.197
0.750 0.000 0.497
0.750 0.500 0.046
0.250 0.500 0.954
0.250 0.000 0.503
```

Calculated values
Density, Mg/m³: 11.9



(b)
## IrN (PBE)

Data for crystalline IrN at its relaxed geometry.

```
IrN
1.0
3.075 0.000 0.000
-1.537 2.663 0.000
0.000 0.000 5.205
N Ir
2 2
Direct
0.667 0.333 0.750
0.333 0.667 0.250
0.000 0.000 0.500
0.000 0.000 0.000
```

Calculated values
Density, Mg/m³: 16.1



Most favorable first, least favorable last: (a), (b)



(a)
## IrN (PBE)

Data for crystalline IrN at its relaxed geometry.

```
IrN
1.0
-2.663 -0.619 -4.793
0.926 -3.483 -0.064
-3.791 -1.049 2.242
Ir N
4 4
Direct
0.594 0.250 0.796
0.406 0.750 0.204
0.094 0.250 0.704
0.906 0.750 0.296
0.863 0.250 0.084
0.637 0.750 0.584
0.363 0.250 0.416
0.137 0.750 0.916
```

Calculated values
Density, Mg/m³: 15.2



(b)
## IrN (PBE)

Data for crystalline IrN at its relaxed geometry.

```
IrN
1.0
2.196 -2.196 0.000
-2.196 0.000 -2.196
2.196 2.196 0.000
Ir N
1 1
Direct
0.000 0.000 0.000
0.500 0.000 0.500
```

Calculated values
Density, Mg/m³: 16.2



Most favorable first, least favorable last: (a), (b)



(a)
## Ir2N (PBE)

Data for crystalline Ir2N at its relaxed geometry.

```
Ir2N
1.0
-1.213 -4.092 -2.552
3.432 1.116 -3.421
2.096 -1.607 1.579
N Ir
2 4
Direct
0.000 0.000 0.000
0.500 0.500 0.500
0.280 0.280 0.000
0.780 0.220 0.500
0.220 0.780 0.500
0.720 0.720 0.000
```

Calculated values
Density, Mg/m³: 17.4



(b)
## Ir2N (PBE)

Data for crystalline Ir2N at its relaxed geometry.

```
Ir2N
1.0
3.074 1.775 5.020
-3.074 1.775 5.020
0.000 -3.550 5.020
N Ir
2 4
Direct
0.250 0.250 0.250
0.500 0.500 0.500
0.875 0.375 0.375
0.375 0.875 0.375
0.375 0.375 0.375
0.375 0.375 0.875
```

Calculated values
Density, Mg/m³: 8.1



(c)
## Ir2N (PBE)

Data for crystalline Ir2N at its relaxed geometry.

```
Ir2N
1.0
0.000 2.684 2.684
2.684 0.000 2.684
2.684 2.684 0.000
Ir N
2 1
Direct
0.250 0.250 0.250
0.750 0.750 0.750
0.000 0.000 0.000
```

Calculated values
Density, Mg/m³: 17.1



Most favorable first, least favorable last: (a), (c), (b)



(a)
## Sr2NbIrN4O2 (PBE)

Data for crystalline Sr2NbIrN4O2 at its relaxed geometry.

```
Sr2NbIrN4O2
1.0
5.658 0.000 0.000
0.023 5.673 0.000
0.017 0.045 8.020
Sr N O Ir Nb
4 8 4 2 2
Direct
0.502 0.001 0.755
0.997 0.501 0.256
0.487 0.997 0.256
0.013 0.499 0.750
0.235 0.758 0.010
0.760 0.263 0.513
0.507 0.534 0.740
0.494 0.473 0.260
0.746 0.764 0.017
0.993 0.971 0.750
0.772 0.253 0.991
0.266 0.236 0.518
0.225 0.721 0.484
0.263 0.244 0.970
0.727 0.763 0.474
0.016 0.036 0.248
0.989 0.994 0.986
0.499 0.474 0.508
0.999 0.005 0.504
0.507 0.514 0.013
```

Calculated values
Density, Mg/m³: 7.1



(b)
## Sr2NbIrN4O2 (PBE)

Data for crystalline Sr2NbIrN4O2 at its relaxed geometry.

```
Sr2NbIrN4O2
1.0
-0.726 -5.542 0.790
3.085 -1.071 -4.619
6.675 -0.250 4.505
N Sr O Nb Ir
8 4 4 2 2
Direct
0.729 0.763 0.492
0.752 0.755 0.008
0.008 0.972 0.748
0.754 0.244 0.986
0.491 0.520 0.748
0.242 0.756 0.014
0.993 0.021 0.246
0.243 0.246 0.993
0.006 0.498 0.750
0.499 0.008 0.749
0.996 0.499 0.249
0.489 0.009 0.248
0.281 0.228 0.512
0.237 0.724 0.482
0.511 0.465 0.262
0.775 0.280 0.526
0.992 0.997 0.483
0.497 0.504 0.005
0.995 0.998 0.982
0.510 0.513 0.517
```

Calculated values
Density, Mg/m³: 7.1



(c)
## Sr2NbIrN4O2 (PBE)

Data for crystalline Sr2NbIrN4O2 at its relaxed geometry.

```
Sr2NbIrN4O2
1.0
-0.340 4.494 -3.480
-5.456 0.692 1.503
2.242 4.758 5.943
O Nb Ir Sr N
4 2 2 4 8
Direct
0.269 0.776 0.021
0.272 0.757 0.478
0.781 0.709 0.492
0.711 0.207 0.523
0.004 0.002 0.500
0.511 0.506 0.000
0.988 0.030 0.999
0.492 0.478 0.500
0.489 0.992 0.754
0.996 0.508 0.744
0.012 0.520 0.248
0.501 0.991 0.254
0.231 0.259 0.505
0.985 0.025 0.245
0.514 0.476 0.261
0.768 0.753 0.003
0.744 0.248 0.985
0.234 0.265 0.993
0.010 0.979 0.756
0.489 0.520 0.737
```

Calculated values
Density, Mg/m³: 7.1



(d)
## Sr2NbIrN4O2 (PBE)

Data for crystalline Sr2NbIrN4O2 at its relaxed geometry.

```
Sr2NbIrN4O2
1.0
-0.667 -4.215 -3.725
4.189 -2.877 2.521
-5.321 -3.450 4.878
N Ir Nb O Sr
8 2 2 4 4
Direct
0.758 0.756 0.009
0.245 0.757 0.014
0.003 0.975 0.748
0.500 0.478 0.265
0.757 0.243 0.989
0.270 0.770 0.487
0.501 0.520 0.740
0.246 0.244 0.989
0.490 0.511 0.503
0.004 0.996 0.985
0.504 0.497 0.008
0.011 0.991 0.501
0.993 0.036 0.251
0.720 0.223 0.514
0.768 0.726 0.482
0.215 0.286 0.512
0.504 0.005 0.749
0.001 0.492 0.254
0.993 0.495 0.747
0.516 0.001 0.253
```

Calculated values
Density, Mg/m³: 7.1



Most favorable first, least favorable last: (a), (d), (c), (b)



(a)
## Sr2NbIrN4O2 (PBE)

Data for crystalline Sr2NbIrN4O2 at its relaxed geometry.

```
Sr2NbIrN4O2
1.0
5.649 0.000 0.000
0.008 5.659 0.000
0.041 0.009 8.053
N O Sr Ir Nb
8 4 4 2 2
Direct
0.265 0.229 0.010
0.742 0.255 0.487
0.497 0.521 0.254
0.745 0.744 0.510
0.995 0.021 0.752
0.252 0.253 0.489
0.503 0.470 0.752
0.255 0.743 0.512
0.229 0.737 0.976
0.999 0.965 0.238
0.785 0.276 0.015
0.730 0.781 0.985
0.993 0.507 0.753
0.501 0.991 0.750
0.998 0.508 0.252
0.509 0.995 0.252
0.495 0.495 0.518
0.012 0.013 0.983
0.997 0.001 0.496
0.496 0.495 0.018
```

Calculated values
Density, Mg/m³: 7.1



(b)
## Sr2NbIrN4O2 (PBE)

Data for crystalline Sr2NbIrN4O2 at its relaxed geometry.

```
Sr2NbIrN4O2
1.0
-5.485 1.274 0.388
0.219 -0.453 5.627
1.830 7.836 0.609
Nb N Sr O Ir
2 8 4 4 2
Direct
0.490 0.496 0.002
0.007 0.007 0.498
0.252 0.774 0.012
0.745 0.228 0.989
0.001 0.981 0.749
0.499 0.521 0.751
0.730 0.247 0.511
0.273 0.751 0.488
0.235 0.261 0.983
0.242 0.262 0.517
0.505 0.994 0.750
0.983 0.509 0.750
0.989 0.506 0.250
0.518 0.994 0.250
0.998 0.030 0.247
0.768 0.737 0.015
0.765 0.731 0.485
0.499 0.470 0.253
0.485 0.487 0.520
0.013 0.015 0.980
```

Calculated values
Density, Mg/m³: 7.1



(c)
## Sr2NbIrN4O2 (PBE)

Data for crystalline Sr2NbIrN4O2 at its relaxed geometry.

```
Sr2NbIrN4O2
1.0
5.645 0.000 0.000
-0.004 5.675 0.000
-0.014 -0.012 8.035
N Nb Sr O Ir
8 2 4 4 2
Direct
0.762 0.750 0.014
0.501 0.474 0.258
0.241 0.246 0.988
0.268 0.761 0.486
0.762 0.731 0.488
0.249 0.759 0.016
0.003 0.972 0.750
0.750 0.237 0.987
0.500 0.493 0.009
0.004 0.986 0.501
0.498 0.007 0.748
0.511 0.006 0.249
0.005 0.484 0.250
0.994 0.488 0.748
0.230 0.278 0.516
0.500 0.537 0.746
0.996 0.041 0.250
0.724 0.236 0.519
0.502 0.524 0.491
0.001 0.991 0.985
```

Calculated values
Density, Mg/m³: 7.1



Most favorable first, least favorable last: (b), (c), (a)